Entry from the Open Quantum Materials Database: a geometry-optimized LuHfAlCo structure (PBE).

a b c (Å): 4.656 4.656 4.656
angles (deg): 60.00 60.00 60.00
Sites, in units of the cell vectors:
Lu 0.000 0.000 0.000
Hf 0.750 0.750 0.750
Al 0.250 0.250 0.250
Co 0.500 0.500 0.500

Summary:
total energy: -6.283 eV per atom
total moment: 0.001 Bohr magnetons per cell
distance to the lowest polymorph of the same formula: 0 meV/atom

***

Entry from the Open Quantum Materials Database: a geometry-optimized Hf2AlZnCo2Pt2 structure (PBE).

a b c (Å): 4.418 4.418 6.230
angles (deg): 90.00 90.00 90.00
Sites, in units of the cell vectors:
Hf 0.000 0.000 0.000
Hf 0.500 0.500 0.500
Al 0.000 0.000 0.500
Zn 0.500 0.500 0.000
Co 0.000 0.500 0.252
Co 0.500 0.000 0.748
Pt 0.000 0.500 0.745
Pt 0.500 0.000 0.255

Summary:
total energy: -7.091 eV per atom
total moment: 2.530 Bohr magnetons per cell

***

Entry from the Open Quantum Materials Database: a geometry-optimized HfAlCoRe structure (PBE).

a b c (Å): 4.388 4.388 4.388
angles (deg): 60.00 60.00 60.00
Sites, in units of the cell vectors:
Hf 0.000 0.000 0.000
Al 0.500 0.500 0.500
Co 0.750 0.750 0.750
Re 0.250 0.250 0.250

Summary:
total energy: -8.568 eV per atom
total moment: 0.322 Bohr magnetons per cell
distance to the lowest polymorph of the same formula: 0 meV/atom

***

Entry from the Open Quantum Materials Database: a geometry-optimized HfScAl4Co2 structure (PBE).

a b c (Å): 6.710 5.083 5.083
angles (deg): 45.96 90.00 90.00
Sites, in units of the cell vectors:
Hf 0.000 0.000 0.000
Sc 0.500 0.867 0.867
Al 0.198 0.286 0.286
Al 0.302 0.581 0.581
Al 0.698 0.581 0.581
Al 0.802 0.286 0.286
Co 0.000 0.722 0.722
Co 0.500 0.144 0.144

Summary:
total energy: -6.231 eV per atom
total moment: 0.015 Bohr magnetons per cell

***

Entry from the Open Quantum Materials Database: a geometry-optimized TmHfAl4Co2 structure (PBE).

a b c (Å): 6.800 5.169 5.169
angles (deg): 45.64 90.00 90.00
Sites, in units of the cell vectors:
Tm 0.000 0.000 0.000
Hf 0.500 0.132 0.132
Al 0.202 0.716 0.716
Al 0.307 0.417 0.417
Al 0.693 0.417 0.417
Al 0.798 0.716 0.716
Co 0.000 0.280 0.280
Co 0.500 0.857 0.857

Summary:
total energy: -5.982 eV per atom
total moment: 0.001 Bohr magnetons per cell

***

Entry from the Open Quantum Materials Database: a geometry-optimized HfAlCoW structure (PBE).

a b c (Å): 4.444 4.444 4.444
angles (deg): 60.00 60.00 60.00
Sites, in units of the cell vectors:
Hf 0.000 0.000 0.000
Al 0.500 0.500 0.500
Co 0.750 0.750 0.750
W 0.250 0.250 0.250

Summary:
total energy: -8.387 eV per atom
total moment: 0.957 Bohr magnetons per cell
distance to the lowest polymorph of the same formula: 0 meV/atom